i | ## Y2BeZn (GGA-PBE)

Data for an optimized crystal structure of Y2BeZn.

Values from the calculation:
Space-group type: I-42d, No. 122
Total magnetization: 0.00 μB/atom

a = 7.537 Å, b = 7.537 Å, c = 6.346 Å
α = 53.57°, β = 53.57°, γ = 90.00°
Element x y z (fractional)
1 Be 0.500 0.500 0.000
2 Y 0.145 0.625 0.250
3 Y 0.375 0.395 0.750
4 Y 0.605 0.125 0.250
5 Be 0.250 0.750 0.500
6 Zn 0.750 0.250 0.500
7 Zn 0.000 0.000 0.000
8 Y 0.875 0.855 0.750

***

ii | ## Y2BeZn (GGA-PBE)

Data for an optimized crystal structure of Y2BeZn.

Values from the calculation:
Space-group type: F-43m, No. 216
Total magnetization: 0.23 μB/atom

a = 4.943 Å, b = 4.943 Å, c = 4.943 Å
α = 60.00°, β = 60.00°, γ = 60.00°
Element x y z (fractional)
1 Y 0.250 0.250 0.250
2 Y 0.000 0.000 0.000
3 Zn 0.750 0.750 0.750
4 Be 0.500 0.500 0.500

***

iii | ## Y2BeZn (GGA-PBE)

Data for an optimized crystal structure of Y2BeZn.

Values from the calculation:
Space-group type: Pm, No. 6
Total magnetization: 0.00 μB/atom

a = 4.277 Å, b = 3.703 Å, c = 5.858 Å
α = 72.78°, β = 90.00°, γ = 90.00°
Element x y z (fractional)
1 Y 0.500 0.272 0.326
2 Zn 0.000 0.684 0.503
3 Be 0.500 0.564 0.750
4 Y 0.000 0.980 0.921

***

iii is favored, and the nearest alternative lies 422 meV per atom above it.

***

i | ## YBeZn3 (GGA-PBE)

Data for an optimized crystal structure of YBeZn3.

Values from the calculation:
Space-group type: Pm-3m, No. 221
Total magnetization: 0.00 μB/atom

a = 5.597 Å, b = 5.597 Å, c = 5.597 Å
α = 90.00°, β = 90.00°, γ = 90.00°
Element x y z (fractional)
1 Zn 0.000 0.500 0.000
2 Be 0.500 0.500 0.500
3 Zn 0.000 0.000 0.500
4 Y 0.000 0.000 0.000
5 Zn 0.500 0.000 0.000

***

ii | ## YBeZn3 (GGA-PBE)

Data for an optimized crystal structure of YBeZn3.

Values from the calculation:
Space-group type: Pm-3m, No. 221
Total magnetization: 0.00 μB/atom

a = 4.391 Å, b = 4.391 Å, c = 4.391 Å
α = 90.00°, β = 90.00°, γ = 90.00°
Element x y z (fractional)
1 Y 0.500 0.500 0.500
2 Zn 0.500 0.000 0.000
3 Be 0.000 0.000 0.000
4 Zn 0.000 0.500 0.000
5 Zn 0.000 0.000 0.500

***

ii is favored, and the nearest alternative lies 1452 meV per atom above it.